Entry 1:
! CsBa2CaAs | the Alexandria database | PBE-GGA | relaxed; values from VASP
! **E_form**: -0.382 eV/atom
&SYSTEM
  ibrav = 0, nat = 5, ntyp = 4
/
ATOMIC_SPECIES
Cs 132.91 Cs.upf
Ba 137.33 Ba.upf
Ca 40.08 Ca.upf
As 74.92 As.upf
ATOMIC_POSITIONS crystal
Cs 0.0000 0.0000 0.0000
Ba 0.0000 0.5000 0.5000
Ba 0.5000 0.0000 0.5000
Ca 0.5000 0.5000 0.0000
As 0.5000 0.5000 0.5000
CELL_PARAMETERS angstrom
6.6748 0.0000 0.0000
0.0000 6.6748 0.0000
0.0000 0.0000 5.9791

Entry 2:
! BaCaAsF2 | the Alexandria database | PBE-GGA | relaxed; values from VASP
! **E_tot**: -4.91 eV/atom
&SYSTEM
  ibrav = 0, nat = 5, ntyp = 4
/
ATOMIC_SPECIES
Ba 137.33 Ba.upf
Ca 40.08 Ca.upf
As 74.92 As.upf
F 19.00 F.upf
ATOMIC_POSITIONS crystal
Ba 0.0000 0.0000 0.0000
Ca 0.5000 0.5000 0.5000
As 0.5000 0.5000 0.0000
F 0.0000 0.5000 0.5000
F 0.5000 0.0000 0.5000
CELL_PARAMETERS angstrom
4.5524 0.0000 0.0000
0.0000 4.5524 0.0000
0.0000 0.0000 6.0174

Entry 3:
! BaCaFeAs2 | the Alexandria database | PBE-GGA | relaxed; values from VASP
! **E_form**: -0.039 eV/atom
&SYSTEM
  ibrav = 0, nat = 5, ntyp = 4
/
ATOMIC_SPECIES
Ba 137.33 Ba.upf
Ca 40.08 Ca.upf
Fe 55.84 Fe.upf
As 74.92 As.upf
ATOMIC_POSITIONS crystal
Ba 0.0000 0.0000 0.0000
Ca 0.5000 0.5000 0.0000
Fe 0.0000 0.0000 0.5000
As 0.0000 0.5000 0.5000
As 0.5000 0.0000 0.5000
CELL_PARAMETERS angstrom
5.0023 0.0000 0.0000
0.0000 5.0023 0.0000
0.0000 0.0000 5.1043